Entry 1:
A plane-wave DFT calculation with meta-GGA SCAN was carried out for a PBEsol-optimized structure of Ta2ZnCo.

Results
formation energy: 0.07 eV/atom
symmetry: Imm2, No. 44

Cell: 2.870 4.523 5.260 Å, 115.46 105.83 90.00°
Fractional positions:
Co: 0.248 0.248 0.496
Zn: 0.527 0.027 0.053
Ta: 0.979 0.479 0.957
Ta: 0.747 0.747 0.494


Entry 2:
A plane-wave DFT calculation with meta-GGA SCAN was carried out for a PBEsol-optimized structure of Hf3BiAs.

Results
formation energy: 1.55 eV/atom
symmetry: Pm-3m, No. 221

Cell: 5.268 5.268 5.268 Å, 90.00 90.00 90.00°
Fractional positions:
Bi: 0.000 0.000 0.000
Hf: 0.000 0.000 0.500
Hf: 0.500 0.000 0.000
Hf: 0.000 0.500 0.000
As: 0.500 0.500 0.500


Entry 3:
A plane-wave DFT calculation with meta-GGA SCAN was carried out for a PBEsol-optimized structure of Ta2AlPb.

Results
formation energy: 0.11 eV/atom
symmetry: P4mm, No. 99

Cell: 3.540 3.540 6.002 Å, 90.00 90.00 90.00°
Fractional positions:
Al: 0.000 0.000 0.481
Ta: 0.500 0.500 0.246
Ta: 0.000 0.000 0.028
Pb: 0.500 0.500 0.745


Entry 4:
A plane-wave DFT calculation with meta-GGA SCAN was carried out for a PBEsol-optimized structure of SbAs2Pt.

Results
symmetry: R-3m, No. 166
ΔE_f (raw): -0.1572 eV per atom

Cell: 3.835 3.835 6.684 Å, 73.33 73.33 60.00°
Fractional positions:
Pt: 0.500 0.500 0.500
As: 0.765 0.765 0.706
As: 0.235 0.235 0.294
Sb: 0.000 0.000 0.000


Entry 5:
A plane-wave DFT calculation with meta-GGA SCAN was carried out for a PBEsol-optimized structure of HgGeCl3.

Results
symmetry: Pm-3m, No. 221
ΔE_f (raw): -0.4745 eV per atom

Cell: 4.966 4.966 4.966 Å, 90.00 90.00 90.00°
Fractional positions:
Cl: 0.000 0.500 0.000
Cl: 0.500 0.000 0.000
Cl: 0.000 0.000 0.500
Ge: 0.000 0.000 0.000
Hg: 0.500 0.500 0.500


Entry 6:
A plane-wave DFT calculation with meta-GGA SCAN was carried out for a PBEsol-optimized structure of FeAs.

Results
formation energy: -0.15 eV/atom
symmetry: Pnma, No. 62

Cell: 3.276 5.305 5.897 Å, 90.00 90.00 90.00°
Fractional positions:
As: 0.750 0.198 0.077
As: 0.750 0.698 0.423
As: 0.250 0.802 0.923
As: 0.250 0.302 0.577
Fe: 0.250 0.498 0.200
Fe: 0.750 0.002 0.700
Fe: 0.250 0.998 0.300
Fe: 0.750 0.502 0.800


Entry 7:
A plane-wave DFT calculation with meta-GGA SCAN was carried out for a PBEsol-optimized structure of NaNbCu2.

Results
formation energy: 0.53 eV/atom
symmetry: Fm-3m, No. 225

Cell: 4.407 4.407 4.407 Å, 60.00 60.00 60.00°
Fractional positions:
Nb: 0.500 0.500 0.500
Cu: 0.250 0.250 0.250
Cu: 0.750 0.750 0.750
Na: 0.000 0.000 0.000


Entry 8:
A plane-wave DFT calculation with meta-GGA SCAN was carried out for a PBEsol-optimized structure of ZnCr2In.

Results
formation energy: 0.40 eV/atom
symmetry: R-3m, No. 166

Cell: 2.881 2.881 8.712 Å, 80.48 80.48 60.00°
Fractional positions:
Zn: 0.000 0.000 0.000
In: 0.500 0.500 0.500
Cr: 0.255 0.255 0.234
Cr: 0.745 0.745 0.766


Entry 9:
A plane-wave DFT calculation with meta-GGA SCAN was carried out for a PBEsol-optimized structure of KZnPb2.

Results
formation energy: 0.07 eV/atom
symmetry: P4/mmm, No. 123

Cell: 4.791 4.800 4.764 Å, 90.00 90.00 90.00°
Fractional positions:
Zn: 0.500 0.000 0.500
K: 0.000 0.500 0.500
Pb: 0.500 0.500 0.000
Pb: 0.000 0.000 0.000


Entry 10:
A plane-wave DFT calculation with meta-GGA SCAN was carried out for a PBEsol-optimized structure of BaAl9Ni2.

Results
formation energy: -0.42 eV/atom
symmetry: P6/mmm, No. 191

Cell: 3.934 7.896 7.896 Å, 120.00 90.00 90.00°
Fractional positions:
Ni: 0.000 0.333 0.667
Ni: 0.000 0.667 0.333
Al: 0.500 0.787 0.573
Al: 0.500 0.427 0.213
Al: 0.000 0.500 0.500
Al: 0.000 0.000 0.500
Al: 0.000 0.500 0.000
Al: 0.500 0.213 0.787
Al: 0.500 0.787 0.213
Al: 0.500 0.573 0.787
Al: 0.500 0.213 0.427
Ba: 0.000 0.000 0.000


Entry 11:
A plane-wave DFT calculation with meta-GGA SCAN was carried out for a PBEsol-optimized structure of CsSrMg2In.

Results
formation energy: 0.51 eV/atom
symmetry: P4/mmm, No. 123

Cell: 6.219 6.516 6.516 Å, 90.00 90.00 90.00°
Fractional positions:
Mg: 0.000 0.500 0.000
Mg: 0.000 0.000 0.500
Cs: 0.500 0.500 0.500
Sr: 0.000 0.000 0.000
In: 0.500 0.000 0.000


Entry 12:
A plane-wave DFT calculation with meta-GGA SCAN was carried out for a PBEsol-optimized structure of AsPbAu2.

Results
formation energy: -0.03 eV/atom
symmetry: C2/m, No. 12

Cell: 4.231 4.212 6.140 Å, 110.28 90.00 120.15°
Fractional positions:
Pb: 0.500 0.000 0.000
As: 0.000 0.000 0.500
Au: 0.270 0.540 0.310
Au: 0.730 0.460 0.690


Entry 13:
A plane-wave DFT calculation with meta-GGA SCAN was carried out for a PBEsol-optimized structure of InAu5.

Results
formation energy: -0.08 eV/atom
symmetry: P4/mmm, No. 123

Cell: 3.581 3.581 8.358 Å, 90.00 90.00 90.00°
Fractional positions:
Au: 0.500 0.500 0.335
Au: 0.000 0.000 0.500
Au: 0.000 0.000 0.169
Au: 0.000 0.000 0.831
Au: 0.500 0.500 0.665
In: 0.500 0.500 0.000


Entry 14:
A plane-wave DFT calculation with meta-GGA SCAN was carried out for a PBEsol-optimized structure of TcAsRh.

Results
formation energy: 0.07 eV/atom
symmetry: Imm2, No. 44

Cell: 2.868 3.898 4.516 Å, 115.57 108.51 90.00°
Fractional positions:
Rh: 0.674 0.674 0.347
As: 0.000 0.000 0.999
Tc: 0.327 0.327 0.653


Entry 15:
A plane-wave DFT calculation with meta-GGA SCAN was carried out for a PBEsol-optimized structure of LiTaSi2.

Results
symmetry: P4/mmm, No. 123
ΔE_f (raw): -0.1190 eV per atom

Cell: 2.733 2.733 8.149 Å, 90.00 90.00 90.00°
Fractional positions:
Si: 0.000 0.000 0.755
Si: 0.000 0.000 0.245
Ta: 0.500 0.500 0.000
Li: 0.500 0.500 0.500


Entry 16:
A plane-wave DFT calculation with meta-GGA SCAN was carried out for a PBEsol-optimized structure of ReTeSeI2.

Results
symmetry: P4/mmm, No. 123
ΔE_f (raw): 0.8778 eV per atom

Cell: 5.102 5.295 5.295 Å, 90.00 90.00 90.00°
Fractional positions:
I: 0.000 0.500 0.000
I: 0.000 0.000 0.500
Se: 0.500 0.500 0.500
Re: 0.000 0.000 0.000
Te: 0.500 0.000 0.000


Entry 17:
A plane-wave DFT calculation with meta-GGA SCAN was carried out for a PBEsol-optimized structure of ScCdAs2Cl.

Results
symmetry: P4/mmm, No. 123
ΔE_f (raw): 0.3357 eV per atom

Cell: 4.551 5.039 5.039 Å, 90.00 90.00 90.00°
Fractional positions:
As: 0.000 0.000 0.500
As: 0.000 0.500 0.000
Sc: 0.500 0.000 0.000
Cd: 0.500 0.500 0.500
Cl: 0.000 0.000 0.000


Entry 18:
A plane-wave DFT calculation with meta-GGA SCAN was carried out for a PBEsol-optimized structure of TlReRh2.

Results
formation energy: 0.41 eV/atom
symmetry: C2/m, No. 12

Cell: 2.810 4.697 4.998 Å, 97.76 90.00 107.41°
Fractional positions:
Rh: 0.245 0.490 0.225
Rh: 0.755 0.510 0.775
Tl: 0.000 0.000 0.500
Re: 0.500 0.000 0.000


Entry 19:
A plane-wave DFT calculation with meta-GGA SCAN was carried out for a PBEsol-optimized structure of TiBiB2.

Results
formation energy: 0.99 eV/atom
symmetry: I-42d, No. 122

Cell: 6.100 5.449 6.100 Å, 124.04 90.00 124.04°
Fractional positions:
B: 0.625 0.750 0.141
B: 0.859 0.250 0.875
B: 0.391 0.250 0.375
B: 0.125 0.750 0.609
Bi: 0.250 0.500 0.750
Bi: 0.000 0.000 0.000
Ti: 0.500 0.000 0.500
Ti: 0.750 0.500 0.250


Entry 20:
A plane-wave DFT calculation with meta-GGA SCAN was carried out for a PBEsol-optimized structure of HPd3Ru.

Results
E_tot: -25.585 eV per atom
symmetry: Pm-3m, No. 221

Cell: 4.703 4.703 4.703 Å, 90.00 90.00 90.00°
Fractional positions:
Pd: 0.500 0.000 0.000
Pd: 0.000 0.000 0.500
Pd: 0.000 0.500 0.000
Ru: 0.000 0.000 0.000
H: 0.500 0.500 0.500


Entry 21:
A plane-wave DFT calculation with meta-GGA SCAN was carried out for a PBEsol-optimized structure of KNiP3O9.

Results
symmetry: R3, No. 146
ΔE_f (raw): -2.3336 eV per atom

Cell: 6.245 6.245 6.245 Å, 107.01 107.01 107.01°
Fractional positions:
O: 0.643 0.899 0.945
O: 0.865 0.621 0.274
O: 0.274 0.865 0.621
O: 0.945 0.643 0.899
O: 0.364 0.100 0.071
O: 0.071 0.364 0.100
O: 0.621 0.274 0.865
O: 0.899 0.945 0.643
O: 0.100 0.071 0.364
P: 0.480 0.030 0.898
P: 0.898 0.480 0.030
P: 0.030 0.898 0.480
K: 0.494 0.494 0.494
Ni: 0.002 0.002 0.002


Entry 22:
A plane-wave DFT calculation with meta-GGA SCAN was carried out for a PBEsol-optimized structure of Sc2BeRh.

Results
formation energy: -0.60 eV/atom
symmetry: P4/mmm, No. 123

Cell: 3.264 4.420 4.420 Å, 90.00 90.00 90.00°
Fractional positions:
Rh: 0.500 0.000 0.000
Be: 0.500 0.500 0.500
Sc: 0.000 0.000 0.500
Sc: 0.000 0.500 0.000


Entry 23:
A plane-wave DFT calculation with meta-GGA SCAN was carried out for a PBEsol-optimized structure of ErAlNi.

Results
formation energy: -0.67 eV/atom
symmetry: P-62m, No. 189

Cell: 3.849 6.784 6.784 Å, 120.00 90.00 90.00°
Fractional positions:
Al: 0.500 0.000 0.237
Al: 0.500 0.237 0.000
Al: 0.500 0.763 0.763
Ni: 0.000 0.000 0.000
Ni: 0.500 0.333 0.667
Ni: 0.500 0.667 0.333
Er: 0.000 0.000 0.584
Er: 0.000 0.416 0.416
Er: 0.000 0.584 0.000


Entry 24:
A plane-wave DFT calculation with meta-GGA SCAN was carried out for a PBEsol-optimized structure of FeHgRhAu2.

Results
formation energy: 0.75 eV/atom
symmetry: P4/mmm, No. 123

Cell: 4.432 4.712 4.712 Å, 90.00 90.00 90.00°
Fractional positions:
Fe: 0.000 0.000 0.000
Hg: 0.500 0.500 0.500
Rh: 0.500 0.000 0.000
Au: 0.000 0.000 0.500
Au: 0.000 0.500 0.000


Entry 25:
A plane-wave DFT calculation with meta-GGA SCAN was carried out for a PBEsol-optimized structure of CaMo2Ru.

Results
formation energy: 0.56 eV/atom
symmetry: F-43m, No. 216

Cell: 4.505 4.505 4.505 Å, 60.00 60.00 60.00°
Fractional positions:
Mo: 0.000 0.000 0.000
Mo: 0.750 0.750 0.750
Ru: 0.250 0.250 0.250
Ca: 0.500 0.500 0.500


Entry 26:
A plane-wave DFT calculation with meta-GGA SCAN was carried out for a PBEsol-optimized structure of YWBrO4.

Results
symmetry: P-1, No. 2
ΔE_f (raw): -2.7135 eV per atom

Cell: 6.903 7.246 10.876 Å, 102.34 108.88 94.73°
Fractional positions:
Br: 0.195 0.724 0.985
Br: 0.805 0.276 0.015
Br: 0.262 0.026 0.518
Br: 0.738 0.974 0.482
Y: 0.373 0.665 0.766
Y: 0.339 0.898 0.270
Y: 0.661 0.102 0.730
Y: 0.627 0.335 0.234
O: 0.973 0.349 0.335
O: 0.597 0.011 0.189
O: 0.351 0.503 0.557
O: 0.349 0.373 0.801
O: 0.347 0.263 0.045
O: 0.653 0.737 0.955
O: 0.728 0.393 0.696
O: 0.649 0.497 0.443
O: 0.403 0.989 0.811
O: 0.003 0.114 0.797
O: 0.272 0.607 0.304
O: 0.997 0.886 0.203
O: 0.345 0.217 0.293
O: 0.655 0.783 0.707
O: 0.027 0.651 0.665
O: 0.651 0.627 0.199
W: 0.724 0.815 0.132
W: 0.276 0.185 0.868
W: 0.244 0.415 0.377
W: 0.756 0.585 0.623


Entry 27:
A plane-wave DFT calculation with meta-GGA SCAN was carried out for a PBEsol-optimized structure of WI3N.

Results
symmetry: Pm-3m, No. 221
ΔE_f (raw): 2.0018 eV per atom

Cell: 4.882 4.882 4.882 Å, 90.00 90.00 90.00°
Fractional positions:
W: 0.500 0.500 0.500
N: 0.000 0.000 0.000
I: 0.500 0.000 0.000
I: 0.000 0.000 0.500
I: 0.000 0.500 0.000